First-principles (PBE) data for a relaxed TbTaAs2 crystal, as listed in the Alexandria database. Values from VASP.

Geometry as Quantum ESPRESSO input:
```
&SYSTEM
  ibrav = 0, nat = 4, ntyp = 3
/
ATOMIC_SPECIES
As 74.92 As.upf
Ta 180.95 Ta.upf
Tb 158.93 Tb.upf
CELL_PARAMETERS angstrom
3.8921 0.0000 0.0000
1.9461 3.3707 0.0000
1.9461 1.1236 6.4089
ATOMIC_POSITIONS crystal
As 0.2587 0.2587 0.2238
As 0.7413 0.7413 0.7762
Ta 0.0000 0.0000 0.0000
Tb 0.5000 0.5000 0.5000
```

Computed properties:
- volume (Å³ per atom) = 21.02
- space group = R-3m (166)
- formation energy from the elements (eV per formula unit) = -3.28
- M_tot (μB/cell) = 0.0
- energy (eV per atom) = -7.2662